(1)
Computed, not measured: a relaxed structure of Sc2CoNi at the PBE level of DFT.

Calculated values
calculated total energy = -6.467 eV per atom
calculated density = 5.22 Mg/m³
N(E_F) = 3.18 states/eV/cell
ΔE_f = -8 kJ/mol of atoms

Structure (POSCAR):
```
Sc2CoNi
1.0
3.6956 -0.0689 -0.0846
2.5512 2.6747 -0.0846
0.9195 0.3836 6.5387
Co Ni Sc
1 1 2
Direct
0.7500 0.7500 0.7500
0.2500 0.2500 0.2500
0.9999 0.9999 0.9898
0.5001 0.5001 0.5102
```



(2)
Computed, not measured: a relaxed structure of LaBeAu2 at the PBE level of DFT.

Calculated values
calculated total energy = -4.283 eV per atom
calculated density = 10.62 Mg/m³
N(E_F) = 1.90 states/eV/cell
ΔE_f = -46 kJ/mol of atoms

Structure (POSCAR):
```
LaBeAu2
1.0
-3.7028 1.7692 -1.2081
-2.7328 -2.2031 -2.4451
-4.5330 -2.0909 3.1601
Be Au La
1 2 1
Direct
0.7500 0.7500 0.7500
0.0386 0.0386 0.8830
0.4614 0.4614 0.6170
0.2500 0.2500 0.2500
```



(3)
Computed, not measured: a relaxed structure of CdCuAgF6 at the PBE level of DFT.

Calculated values
calculated total energy = -3.732 eV per atom
E_form (uncorrected) = -1611 meV/atom
calculated density = 5.11 Mg/m³
N(E_F) = 8.47 states/eV/cell

Structure (POSCAR):
```
CdCuAgF6
1.0
5.0342 0.0000 0.0000
0.0000 5.0342 0.0000
0.0000 0.0000 10.1958
Cd Cu Ag F
2 2 2 12
Direct
0.5000 0.5000 0.1686
0.0000 0.0000 0.6686
0.5000 0.5000 0.8338
0.0000 0.0000 0.3338
0.5000 0.5000 0.4974
0.0000 0.0000 0.9974
0.1823 0.8177 0.4819
0.8177 0.1823 0.4819
0.3177 0.3177 0.9819
0.6823 0.6823 0.9819
0.1862 0.8138 0.1872
0.8138 0.1862 0.1872
0.3138 0.3138 0.6872
0.6862 0.6862 0.6872
0.7781 0.2219 0.8310
0.2219 0.7781 0.8310
0.7219 0.7219 0.3310
0.2781 0.2781 0.3310
```